Record 1
DFT (GGA-PBE) results for crystalline AlRuRhS2 at its relaxed geometry.

The calculation puts the total energy at -23.73 eV per cell. The calculation puts the formation energy without anion corrections at 94.5 kJ/mol of atoms. As for the space-group type: No. 123.

a = 4.434 Å, b = 4.686 Å, c = 4.434 Å
α = 90.00°, β = 90.00°, γ = 90.00°
Atoms (fractional coordinates):
S 0.500 0.000 0.000
Ru 0.000 0.500 0.000
S 0.000 0.000 0.500
Al 0.000 0.000 0.000
Rh 0.500 0.500 0.500

=====

Record 2
DFT (GGA-PBE) results for crystalline Sc5Al2Ru2Rh at its relaxed geometry.

The calculation puts the total energy at -138.88 eV per cell. As for the space-group type: No. 127.

a = 3.211 Å, b = 10.989 Å, c = 10.989 Å
α = 90.00°, β = 90.00°, γ = 90.00°
Atoms (fractional coordinates):
Sc 0.500 0.697 0.441
Al 0.000 0.684 0.184
Al 0.000 0.816 0.684
Rh 0.000 0.500 0.500
Sc 0.500 0.059 0.803
Sc 0.500 0.559 0.697
Sc 0.500 0.303 0.559
Al 0.000 0.316 0.816
Al 0.000 0.184 0.316
Sc 0.500 0.803 0.941
Sc 0.500 0.500 0.000
Sc 0.500 0.197 0.059
Ru 0.000 0.141 0.641
Sc 0.500 0.000 0.500
Sc 0.500 0.441 0.303
Ru 0.000 0.859 0.359
Ru 0.000 0.359 0.141
Ru 0.000 0.641 0.859
Sc 0.500 0.941 0.197
Rh 0.000 0.000 0.000

=====

Record 3
DFT (GGA-PBE) results for crystalline Al2RuRhSe at its relaxed geometry.

The calculation puts the total energy at -25.19 eV per cell. The calculation puts the formation energy without anion corrections at 46.5 kJ/mol of atoms. As for the space-group type: No. 123.

a = 4.649 Å, b = 4.775 Å, c = 4.649 Å
α = 90.00°, β = 90.00°, γ = 90.00°
Atoms (fractional coordinates):
Al 0.500 0.000 0.000
Se 0.500 0.500 0.500
Ru 0.000 0.500 0.000
Rh 0.000 0.000 0.000
Al 0.000 0.000 0.500

=====

Record 4
DFT (GGA-PBE) results for crystalline AlSiRuRh2 at its relaxed geometry.

The calculation puts the total energy at -32.66 eV per cell. The calculation puts the formation energy without anion corrections at 9.4 kJ/mol of atoms. As for the space-group type: No. 123.

a = 4.344 Å, b = 4.384 Å, c = 4.344 Å
α = 90.00°, β = 90.00°, γ = 90.00°
Atoms (fractional coordinates):
Ru 0.000 0.500 0.000
Si 0.000 0.000 0.000
Rh 0.500 0.000 0.000
Al 0.500 0.500 0.500
Rh 0.000 0.000 0.500

=====

Record 5
DFT (GGA-PBE) results for crystalline SmAlRuRh at its relaxed geometry.

The calculation puts the total energy at -27.17 eV per cell. As for the space-group type: No. 216.

a = 4.605 Å, b = 4.605 Å, c = 4.605 Å
α = 60.00°, β = 60.00°, γ = 60.00°
Atoms (fractional coordinates):
Rh 0.250 0.250 0.250
Sm 0.500 0.500 0.500
Al 0.000 0.000 0.000
Ru 0.750 0.750 0.750

=====

Record 6
DFT (GGA-PBE) results for crystalline Sm2Al5Ru2Rh at its relaxed geometry.

The calculation puts the total energy at -118.85 eV per cell. As for the space-group type: No. 127.

a = 3.099 Å, b = 10.731 Å, c = 10.731 Å
α = 90.00°, β = 90.00°, γ = 90.00°
Atoms (fractional coordinates):
Al 0.500 0.450 0.309
Rh 0.000 0.500 0.500
Al 0.500 0.191 0.050
Al 0.500 0.500 0.000
Sm 0.000 0.813 0.687
Ru 0.000 0.128 0.628
Al 0.500 0.000 0.500
Al 0.500 0.950 0.191
Al 0.500 0.050 0.809
Rh 0.000 0.000 0.000
Sm 0.000 0.313 0.813
Al 0.500 0.550 0.691
Sm 0.000 0.187 0.313
Al 0.500 0.691 0.450
Ru 0.000 0.872 0.372
Ru 0.000 0.372 0.128
Sm 0.000 0.687 0.187
Al 0.500 0.809 0.950
Ru 0.000 0.628 0.872
Al 0.500 0.309 0.550

=====

Record 7
DFT (GGA-PBE) results for crystalline AlTe2RuRh at its relaxed geometry.

The calculation puts the total energy at -21.21 eV per cell. The calculation puts the formation energy without anion corrections at 105.1 kJ/mol of atoms. As for the space-group type: No. 123.

a = 5.129 Å, b = 4.438 Å, c = 5.129 Å
α = 90.00°, β = 90.00°, γ = 90.00°
Atoms (fractional coordinates):
Te 0.500 0.000 0.000
Rh 0.500 0.500 0.500
Al 0.000 0.000 0.000
Te 0.000 0.000 0.500
Ru 0.000 0.500 0.000

=====

Record 8
DFT (GGA-PBE) results for crystalline TmAlRuRh at its relaxed geometry.

The calculation puts the total energy at -27.75 eV per cell. As for the space-group type: No. 216.

a = 4.511 Å, b = 4.511 Å, c = 4.511 Å
α = 60.00°, β = 60.00°, γ = 60.00°
Atoms (fractional coordinates):
Tm 0.500 0.500 0.500
Al 0.000 0.000 0.000
Rh 0.250 0.250 0.250
Ru 0.750 0.750 0.750

=====

Record 9
DFT (GGA-PBE) results for crystalline AlZnRuRh at its relaxed geometry.

The calculation puts the total energy at -23.69 eV per cell. As for the space-group type: No. 216.

a = 4.261 Å, b = 4.261 Å, c = 4.261 Å
α = 60.00°, β = 60.00°, γ = 60.00°
Atoms (fractional coordinates):
Rh 0.500 0.500 0.500
Ru 0.000 0.000 0.000
Al 0.250 0.250 0.250
Zn 0.750 0.750 0.750

=====

Record 10
DFT (GGA-PBE) results for crystalline AlRh2S at its relaxed geometry.

The calculation puts the total energy at -23.31 eV per cell. For the energy above the most stable polymorph in this dataset, the calculation gives 12.3 kJ/mol of atoms. The calculation puts the formation energy without anion corrections at -17.8 kJ/mol of atoms. As for the space-group type: No. 225.

a = 4.300 Å, b = 4.300 Å, c = 4.300 Å
α = 60.00°, β = 60.00°, γ = 60.00°
Atoms (fractional coordinates):
Rh 0.250 0.250 0.250
Rh 0.750 0.750 0.750
S 0.500 0.500 0.500
Al 0.000 0.000 0.000

=====

Record 11
DFT (GGA-PBE) results for crystalline Al3RhS at its relaxed geometry.

The calculation puts the total energy at -23.45 eV per cell. For the energy above the most stable polymorph in this dataset, the calculation gives 0.0 kJ/mol of atoms. The calculation puts the formation energy without anion corrections at -14.3 kJ/mol of atoms. As for the space-group type: No. 221.

a = 4.699 Å, b = 4.699 Å, c = 4.699 Å
α = 90.00°, β = 90.00°, γ = 90.00°
Atoms (fractional coordinates):
Al 0.000 0.000 0.500
S 0.500 0.500 0.500
Rh 0.000 0.000 0.000
Al 0.000 0.500 0.000
Al 0.500 0.000 0.000

=====

Record 12
DFT (GGA-PBE) results for crystalline AlRhS2 at its relaxed geometry.

The calculation puts the total energy at -42.74 eV per cell. The calculation puts the formation energy without anion corrections at -48.8 kJ/mol of atoms. As for the space-group type: No. 122.

a = 5.342 Å, b = 5.342 Å, c = 6.518 Å
α = 65.81°, β = 65.81°, γ = 90.00°
Atoms (fractional coordinates):
S 0.617 0.125 0.250
Rh 0.000 0.000 0.000
S 0.375 0.383 0.750
Rh 0.750 0.250 0.500
Al 0.500 0.500 0.000
S 0.875 0.867 0.750
S 0.133 0.625 0.250
Al 0.250 0.750 0.500

=====

Record 13
DFT (GGA-PBE) results for crystalline Al3RhS at its relaxed geometry.

The calculation puts the total energy at -20.25 eV per cell. For the energy above the most stable polymorph in this dataset, the calculation gives 61.6 kJ/mol of atoms. The calculation puts the formation energy without anion corrections at 47.3 kJ/mol of atoms. As for the space-group type: No. 221.

a = 4.501 Å, b = 4.501 Å, c = 4.501 Å
α = 90.00°, β = 90.00°, γ = 90.00°
Atoms (fractional coordinates):
Al 0.000 0.500 0.000
S 0.000 0.000 0.000
Al 0.000 0.000 0.500
Rh 0.500 0.500 0.500
Al 0.500 0.000 0.000